[1]
Compound: LiGeAs
Source: Alexandria
Functional: PBE
Structure: optimized geometry Values from VASP.

Cell and atoms, written as Quantum ESPRESSO input:
```
&SYSTEM
  ibrav = 0, nat = 3, ntyp = 3
/
ATOMIC_SPECIES
As 74.92 As.upf
Ge 72.64 Ge.upf
Li 6.94 Li.upf
ATOMIC_POSITIONS crystal
As 0.1663 0.3333 0.6667
Ge 0.1669 0.0000 0.0000
Li 0.6668 0.6667 0.3333
CELL_PARAMETERS angstrom
2.9448 0.0000 0.0000
0.0000 4.6565 0.0000
0.0000 -2.3282 4.0326
```


[2]
Compound: TiMoRh3
Source: Alexandria
Functional: PBE
Structure: optimized geometry Values from VASP.

Cell and atoms, written as Quantum ESPRESSO input:
```
&SYSTEM
  ibrav = 0, nat = 5, ntyp = 3
/
ATOMIC_SPECIES
Mo 95.94 Mo.upf
Rh 102.91 Rh.upf
Ti 47.87 Ti.upf
ATOMIC_POSITIONS crystal
Mo 0.5000 0.5000 0.5000
Rh 0.0000 0.5000 0.0000
Rh 0.0000 0.0000 0.5000
Rh 0.5000 0.0000 0.0000
Ti 0.0000 0.0000 0.0000
CELL_PARAMETERS angstrom
4.4895 0.0000 0.0000
0.0000 4.4895 0.0000
0.0000 0.0000 4.4895
```


| no. | ΔE to the lowest computed polymorph (meV per atom) | energy of formation from the pure elements (kJ/mol of formula units) |
| --- | --- | --- |
| 1 | 138.8 | -37.4 |
| 2 | 0.0 | 391.4 |